# 1
Compound: CoNi2HgC
Source: Alexandria via LeMat-Bulk
Functional: PBE-GGA
Structure: relaxed

Values from the calculation:
Total energy (eV per atom): -5.486
Mass density (g/cm³): 11.1

Lattice parameters (Å, degrees): 3.9143 3.9143 3.7839 90.00 90.00 90.00
Space group P4/mmm (No. 123)
One atom of each set of equivalent atoms:
Co 0.0000 0.0000 0.0000 [1 per cell]
Ni 0.0000 0.5000 0.5000 [2 per cell]
Hg 0.5000 0.5000 0.0000 [1 per cell]
C 0.0000 0.0000 0.5000 [1 per cell]

# 2
Compound: ThO2
Source: Alexandria via LeMat-Bulk
Functional: PBE-GGA
Structure: relaxed

Values from the calculation:
E_form (uncorrected) (eV per atom): -3.751
Mass density (g/cm³): 10.5

Lattice parameters (Å, degrees): 6.1785 3.7833 7.1504 90.00 90.00 90.00
Space group Pnma (No. 62)
One atom of each set of equivalent atoms:
Th 0.2476 0.2500 0.0982 [4 per cell]
O 0.0143 0.2500 0.8438 [4 per cell]
O 0.1376 0.2500 0.4233 [4 per cell]

# 3
Compound: Cu3TcI
Source: Alexandria via LeMat-Bulk
Functional: PBE-GGA
Structure: relaxed

Values from the calculation:
E_form (uncorrected) (eV per atom): 1.326
Mass density (g/cm³): 6.3
Excess energy over the best structure of this formula in the dataset (meV/atom): 0

Lattice parameters (Å, degrees): 4.7858 4.7858 4.7858 90.00 90.00 90.00
Space group Pm-3m (No. 221)
One atom of each set of equivalent atoms:
Cu 0.0000 0.0000 0.5000 [3 per cell]
Tc 0.0000 0.0000 0.0000 [1 per cell]
I 0.5000 0.5000 0.5000 [1 per cell]

# 4
Compound: SnHg2Au2
Source: Alexandria via LeMat-Bulk
Functional: PBE-GGA
Structure: relaxed

Values from the calculation:
Mass density (g/cm³): 12.6
Excess energy over the best structure of this formula in the dataset (meV/atom): 119

Lattice parameters (Å, degrees): 3.8892 3.8892 15.9328 90.00 90.00 90.00
Space group I4/mmm (No. 139)
One atom of each set of equivalent atoms:
Sn 0.0000 0.0000 0.0000 [2 per cell]
Hg 0.0000 0.0000 0.3939 [4 per cell]
Au 0.0000 0.5000 0.2500 [4 per cell]

# 5
Compound: Li2CaTa
Source: Alexandria via LeMat-Bulk
Functional: PBE-GGA
Structure: relaxed

Values from the calculation:
Mass density (g/cm³): 4.2
Excess energy over the best structure of this formula in the dataset (meV/atom): 235

Lattice parameters (Å, degrees): 2.9314 5.5824 11.2848 90.00 90.00 90.00
Space group Immm (No. 71)
One atom of each set of equivalent atoms:
Li 0.0000 0.0000 0.2304 [4 per cell]
Ca 0.0000 0.5000 0.0000 [2 per cell]
Ta 0.0000 0.5000 0.5000 [2 per cell]